No. 1
This record from Alexandria describes crystalline Pm3Zn2Ir at its relaxed geometry. The functional is PBE.

```
Pm3Zn2Ir
1.0
3.6331 0.0000 0.0000
0.0000 3.6331 0.0000
0.0000 0.0000 10.8229
Pm Zn Ir
3 2 1
direct
0.0000 0.0000 0.0000
0.0000 0.0000 0.3473
0.0000 0.0000 0.6527
0.5000 0.5000 0.1665
0.5000 0.5000 0.8335
0.5000 0.5000 0.5000
```

Output
Density of states at the Fermi level: 5.5 states/eV/f.u.
Energy relative to the lowest polymorph listed for this composition: 18 meV/atom
Magnetic moment: 0.00 μB per formula unit
Space-group type: No. 123
E_form: -0.431 eV per atom
E: -4.707 eV/atom

No. 2
This record from Alexandria describes crystalline Pm4ZnIr4 at its relaxed geometry. The functional is PBE.

```
Pm4ZnIr4
1.0
8.6064 0.0000 0.0000
0.0000 8.6064 0.0000
0.0000 0.0000 5.7118
Pm Zn Ir
8 2 8
direct
0.0461 0.8168 0.1033
0.1832 0.5461 0.6033
0.3168 0.9539 0.6033
0.4539 0.6832 0.1033
0.5461 0.3168 0.8967
0.6832 0.0461 0.3967
0.8168 0.4539 0.3967
0.9539 0.1832 0.8967
0.2500 0.2500 0.2500
0.7500 0.7500 0.7500
0.0030 0.1355 0.4003
0.1355 0.4970 0.0997
0.3645 0.0030 0.0997
0.4970 0.3645 0.4003
0.5030 0.6355 0.5997
0.6355 0.9970 0.9003
0.8645 0.5030 0.9003
0.9970 0.8645 0.5997
```

Output
Density of states at the Fermi level: 5.0 states/eV/f.u.
Magnetic moment: 0.00 μB per formula unit
Space-group type: No. 86
E_form: -0.505 eV per atom
E: -6.696 eV/atom